# ScMoWO6

ScMoWO6 after structural relaxation (PBE with a Hubbard U, the Alexandria database).

Cell lengths 5.286, 5.286, 9.101 Å; angles 90.00, 90.00, 120.00 degrees
Last column: magnetic moment on the atom in μB.
Sites, in units of the cell vectors:
Sc 0.333 0.667 0.250  0.03
Sc 0.667 0.333 0.750  0.03
Mo 0.000 0.000 0.000  2.73
Mo 0.000 0.000 0.500  2.73
W 0.667 0.333 0.250  0.12
W 0.333 0.667 0.750  0.12
O 0.666 0.643 0.133  0.00
O 0.976 0.334 0.133  0.00
O 0.334 0.976 0.633  0.00
O 0.024 0.666 0.867  0.00
O 0.357 0.334 0.367  0.00
O 0.976 0.643 0.367  0.00
O 0.643 0.976 0.867  0.00
O 0.666 0.024 0.367  0.00
O 0.024 0.357 0.633  0.00
O 0.357 0.024 0.133  0.00
O 0.643 0.666 0.633  0.00
O 0.334 0.357 0.867  0.00

DFT total energy   -7.926 eV/atom